# 1
Tm5HfRu6 | PBE | optimized geometry

a = 4.7104 Å, b = 6.6889 Å, c = 7.4390 Å
α = 90.00°, β = 71.54°, γ = 90.00°
Closest atoms and distances in Å follow each position.
Atoms (fractional coordinates):
Ru1 0.5000 0.7599 0.0000  6 Tm 2.85-2.93, 2 Hf 2.85
Ru2 0.8378 0.2450 0.3243  1 Hf 2.81, 7 Tm 2.85-2.96
Tm1 0.6665 0.0000 0.6669  8 Ru 2.85-2.92
Tm2 0.3335 0.0000 0.3331  8 Ru 2.85-2.92
Hf1 0.0000 0.0000 0.0000  8 Ru 2.81-2.85
Ru3 0.5000 0.2401 0.0000  6 Tm 2.85-2.93, 2 Hf 2.85
Tm3 0.3336 0.5000 0.3328  8 Ru 2.91-2.96
Ru4 0.1622 0.2450 0.6757  1 Hf 2.81, 7 Tm 2.85-2.96
Ru5 0.1622 0.7550 0.6757  1 Hf 2.81, 7 Tm 2.85-2.96
Tm4 0.6664 0.5000 0.6672  8 Ru 2.91-2.96
Tm5 0.0000 0.5000 0.0000  8 Ru 2.85-2.93
Ru6 0.8378 0.7550 0.3243  1 Hf 2.81, 7 Tm 2.85-2.96

Summary:
- Energy of formation from the pure elements: -491 meV/atom

---

# 2
Sc2MnRe | PBE | optimized geometry

a = 5.4639 Å, b = 5.4639 Å, c = 4.5855 Å
α = 65.18°, β = 65.18°, γ = 33.71°
Closest atoms and distances in Å follow each position.
Atoms (fractional coordinates):
Sc1 0.9871 0.9871 0.0129  4 Mn 2.81, 2 Re 2.95, 4 Sc 3.05-3.10
Sc2 0.7646 0.7646 0.7354  4 Re 2.82, 2 Mn 2.93, 4 Sc 3.05-3.10
Re1 0.2221 0.2221 0.2779  2 Mn 2.43
Mn1 0.5263 0.5263 0.4737  2 Re 2.43

Summary:
- Energy of formation from the pure elements: -19 meV/atom

---

# 3
ScCr2 | PBE | optimized geometry

a = 6.1728 Å, b = 6.1728 Å, c = 4.5473 Å
α = 90.00°, β = 90.00°, γ = 120.00°
Closest atoms and distances in Å follow each position.
Atoms (fractional coordinates):
Cr1 0.2101 0.0000 0.0000  2 Cr 2.25
Cr2 0.7899 0.7899 0.0000  2 Cr 2.25
Cr3 0.5144 0.0000 0.5000  6 Sc 2.89-3.18, 6 Cr 2.95-3.09
Cr4 0.4856 0.4856 0.5000  6 Sc 2.89-3.18, 6 Cr 2.95-3.09
Sc1 0.3333 0.6667 0.0000  3 Cr 2.53
Cr5 0.0000 0.5144 0.5000  6 Sc 2.89-3.18, 6 Cr 2.95-3.09
Cr6 0.0000 0.2101 0.0000  2 Cr 2.25
Sc2 0.0000 0.0000 0.5000  6 Cr 2.62
Sc3 0.6667 0.3333 0.0000  3 Cr 2.53

Summary:
- Energy of formation from the pure elements: 693 meV/atom

---

# 4
Sm2FeNi3P4 | PBE | optimized geometry

a = 4.0144 Å, b = 4.0144 Å, c = 9.1748 Å
α = 90.00°, β = 90.00°, γ = 90.00°
Closest atoms and distances in Å follow each position.
Atoms (fractional coordinates):
Ni1 0.0000 0.5000 0.1158  5 P 2.27-2.34
P1 0.5000 0.5000 0.0000  4 Ni 2.27
Ni2 0.0000 0.0000 0.5000  4 P 2.33
Sm1 0.5000 0.0000 0.2448  8 P 3.01-3.07, 7 Ni 3.08-3.31, 2 Fe 3.08
Ni3 0.5000 0.0000 0.8842  5 P 2.27-2.34
Sm2 0.0000 0.5000 0.7552  8 P 3.01-3.07, 7 Ni 3.08-3.31, 2 Fe 3.08
P2 0.0000 0.5000 0.3710  2 Fe 2.33, 3 Ni 2.33-2.34
P3 0.0000 0.0000 0.0000  4 Ni 2.27
P4 0.5000 0.0000 0.6290  3 Ni 2.33-2.34, 2 Fe 2.33
Fe1 0.5000 0.5000 0.5000  4 P 2.33

Summary:
- Energy of formation from the pure elements: -955 meV/atom

---

# 5
KHg5Br11 | PBE | optimized geometry

a = 10.1235 Å, b = 10.1235 Å, c = 7.0530 Å
α = 72.86°, β = 72.86°, γ = 103.52°
Closest atoms and distances in Å follow each position.
Atoms (fractional coordinates):
Br1 0.5772 0.8233 0.0614  1 Hg 2.48
Br2 0.1275 0.7141 0.2932  1 Hg 2.49
Br3 0.1767 0.4228 0.9386  1 Hg 2.48
Br4 0.2859 0.8725 0.7068  1 Hg 2.49
Hg1 0.5000 0.5000 0.0000  2 Br 2.49
K1 0.0000 0.0000 0.0000  6 Br 3.53-3.76
Br5 0.6421 0.6421 0.6046  1 Hg 2.49
Hg2 0.3422 0.0318 0.3287  2 Br 2.48-2.49
Br6 0.8725 0.2859 0.7068  1 Hg 2.49
Br7 0.7141 0.1275 0.2932  1 Hg 2.49
Hg3 0.9682 0.6579 0.6713  2 Br 2.48-2.49
Br8 0.0000 0.0000 0.5000  4 Hg 3.22, 2 K 3.53
Hg4 0.0318 0.3422 0.3287  2 Br 2.48-2.49
Br9 0.8233 0.5772 0.0614  1 Hg 2.48
Br10 0.4228 0.1767 0.9386  1 Hg 2.48
Br11 0.3579 0.3579 0.3954  1 Hg 2.49
Hg5 0.6579 0.9682 0.6713  2 Br 2.48-2.49

Summary:
- Raw formation energy: -0.59 eV/atom

---

# 6
CdRh2W2 | PBE | optimized geometry

a = 7.7112 Å, b = 7.7112 Å, c = 2.7884 Å
α = 90.00°, β = 90.00°, γ = 90.00°
Closest atoms and distances in Å follow each position.
Atoms (fractional coordinates):
W1 0.1654 0.6654 0.5000  6 Rh 2.66-2.67, 2 W 2.79
Rh1 0.6272 0.1272 0.0000  6 W 2.66-2.67, 3 Rh 2.77-2.79
W2 0.8346 0.3346 0.5000  6 Rh 2.66-2.67, 2 W 2.79
Cd1 0.0000 0.0000 0.0000  2 Cd 2.79, 4 Rh 3.04
W3 0.3346 0.1654 0.5000  6 Rh 2.66-2.67, 2 W 2.79
Rh2 0.3728 0.8728 0.0000  6 W 2.66-2.67, 3 Rh 2.77-2.79
Rh3 0.8728 0.6272 0.0000  6 W 2.66-2.67, 3 Rh 2.77-2.79
Cd2 0.5000 0.5000 0.0000  2 Cd 2.79, 4 Rh 3.04
W4 0.6654 0.8346 0.5000  6 Rh 2.66-2.67, 2 W 2.79
Rh4 0.1272 0.3728 0.0000  6 W 2.66-2.67, 3 Rh 2.77-2.79

Summary:
- Energy of formation from the pure elements: 127 meV/atom
- Relative energy among the computed polymorphs: 0.5 kJ/mol of atoms

---

| no. | electronic total energy (eV per cell) |
| --- | --- |
| 1 | -93.86 |
| 2 | -34.36 |
| 3 | -70.50 |
| 4 | -66.44 |
| 5 | -30.99 |
| 6 | -81.78 |